The following is a DFT calculation (PBEsol) of crystalline TiGeIr at its relaxed geometry.

Its formation enthalpy at 0 K is -0.750 eV per atom. The calculation puts the total magnetic moment at 0.001 Bohr magnetons per cell. The density of states at the Fermi level comes out at 28.923 states/eV/cell.

a = 7.405 Å, b = 11.108 Å, c = 6.498 Å
α = 90.00°, β = 90.00°, γ = 90.00°
Space group Ima2 (No. 46)
Inequivalent atoms, fractional coordinates:
Ti 0.250 0.002 0.000 x4
Ti 0.250 0.234 0.666 x4
Ti 0.250 0.694 0.122 x4
Ge 0.005 0.668 0.421 x8
Ge 0.250 0.050 0.419 x4
Ir 0.000 0.000 0.670 x4
Ir 0.051 0.622 0.791 x8